VASP calculation (PBE) on crystalline BiAsPtBr2 at its relaxed geometry.

Size of the total moment: 0.00 μB per cell
Excess energy over the best structure of this formula in the dataset: 0.00 eV/f.u.
Formation energy without anion corrections: 0.23 eV per atom
Uncorrected energy: -3.35 eV per atom

Geometry as POSCAR:
```
BiAsPtBr2
1.0
5.110 0.000 0.000
0.000 5.110 0.000
0.000 0.000 5.027
Bi As Pt Br
1 1 1 2
Direct
0.000 0.000 0.000
0.500 0.500 0.000
0.500 0.500 0.500
0.000 0.500 0.500
0.500 0.000 0.500
```



VASP calculation (PBE) on crystalline BiAsRhBr2 at its relaxed geometry.

Size of the total moment: 0.00 μB per cell
Excess energy over the best structure of this formula in the dataset: 0.00 eV/f.u.
Formation energy without anion corrections: 0.19 eV per atom
Uncorrected energy: -3.66 eV per atom

Geometry as POSCAR:
```
BiAsRhBr2
1.0
5.022 0.000 0.000
0.000 5.022 0.000
0.000 0.000 4.976
Bi As Rh Br
1 1 1 2
Direct
0.000 0.000 0.000
0.500 0.500 0.000
0.500 0.500 0.500
0.000 0.500 0.500
0.500 0.000 0.500
```



VASP calculation (PBE) on crystalline BiAs2RuBr at its relaxed geometry.

Size of the total moment: 0.00 μB per cell
Excess energy over the best structure of this formula in the dataset: 0.00 eV/f.u.
Formation energy without anion corrections: 0.37 eV per atom
Uncorrected energy: -4.46 eV per atom

Geometry as POSCAR:
```
BiAs2RuBr
1.0
4.788 0.000 0.000
0.000 4.788 0.000
0.000 0.000 5.258
Bi As Ru Br
1 2 1 1
Direct
0.000 0.000 0.000
0.000 0.500 0.500
0.500 0.000 0.500
0.500 0.500 0.500
0.500 0.500 0.000
```



VASP calculation (PBE) on crystalline BiAsSBr2 at its relaxed geometry.

Size of the total moment: 0.00 μB per cell
Excess energy over the best structure of this formula in the dataset: 0.00 eV/f.u.
Formation energy without anion corrections: 0.45 eV per atom
Uncorrected energy: -2.75 eV per atom

Geometry as POSCAR:
```
BiAsSBr2
1.0
5.052 0.000 0.000
0.000 5.052 0.000
0.000 0.000 5.157
Bi As S Br
1 1 1 2
Direct
0.000 0.000 0.000
0.500 0.500 0.000
0.500 0.500 0.500
0.000 0.500 0.500
0.500 0.000 0.500
```



VASP calculation (PBE) on crystalline BiAs2SBr at its relaxed geometry.

Size of the total moment: 0.86 μB per cell
Excess energy over the best structure of this formula in the dataset: 2.67 eV/f.u.
Formation energy without anion corrections: 1.06 eV per atom
Uncorrected energy: -2.74 eV per atom

Geometry as POSCAR:
```
BiAs2SBr
1.0
5.627 0.000 0.000
0.000 5.627 0.000
0.000 0.000 5.542
Bi As S Br
1 2 1 1
Direct
0.000 0.000 0.000
0.000 0.500 0.000
0.500 0.000 0.000
0.500 0.500 0.500
0.000 0.000 0.500
```



VASP calculation (PBE) on crystalline BiAs2SBr at its relaxed geometry.

Size of the total moment: 0.00 μB per cell
Excess energy over the best structure of this formula in the dataset: 0.00 eV/f.u.
Formation energy without anion corrections: 0.52 eV per atom
Uncorrected energy: -3.27 eV per atom

Geometry as POSCAR:
```
BiAs2SBr
1.0
4.957 0.000 0.000
0.000 4.957 0.000
0.000 0.000 5.036
Bi As S Br
1 2 1 1
Direct
0.000 0.000 0.000
0.000 0.500 0.500
0.500 0.000 0.500
0.500 0.500 0.500
0.500 0.500 0.000
```



VASP calculation (PBE) on crystalline BiAsSBr2 at its relaxed geometry.

Size of the total moment: 1.29 μB per cell
Excess energy over the best structure of this formula in the dataset: 0.94 eV/f.u.
Formation energy without anion corrections: 0.63 eV per atom
Uncorrected energy: -2.57 eV per atom

Geometry as POSCAR:
```
BiAsSBr2
1.0
5.550 0.000 0.000
0.000 5.550 0.000
0.000 0.000 6.044
Bi As S Br
1 1 1 2
Direct
0.000 0.000 0.000
0.000 0.000 0.500
0.500 0.500 0.500
0.000 0.500 0.000
0.500 0.000 0.000
```



VASP calculation (PBE) on crystalline ScBiAs2Br at its relaxed geometry.

Size of the total moment: 0.20 μB per cell
Excess energy over the best structure of this formula in the dataset: 3.17 eV/f.u.
Formation energy without anion corrections: 0.51 eV per atom
Uncorrected energy: -3.73 eV per atom

Geometry as POSCAR:
```
ScBiAs2Br
1.0
5.436 0.000 0.000
0.000 5.436 0.000
0.000 0.000 5.454
Sc Bi As Br
1 1 2 1
Direct
0.000 0.000 0.000
0.500 0.500 0.500
0.000 0.500 0.500
0.500 0.000 0.500
0.500 0.500 0.000
```